## FeAsRuC2 (GGA-PBE)

Data for crystalline FeAsRuC2 at its relaxed geometry.

## Properties
Calculated formation energy (kJ/mol of formula units): 736

abc: 3.830 3.830 5.413
angles: 90.00 90.00 90.00
Fractional positions:
Fe1 0.000 0.000 0.000
As1 0.500 0.500 0.000
Ru1 0.500 0.500 0.500
C1 0.000 0.500 0.500
C2 0.500 0.000 0.500

***

## Sc2FeAsC (GGA-PBE)

Data for crystalline Sc2FeAsC at its relaxed geometry.

## Properties
Calculated formation energy (kJ/mol of formula units): -287

abc: 4.553 4.553 3.709
angles: 90.00 90.00 90.00
Fractional positions:
Sc1 0.000 0.500 0.000
Sc2 0.500 0.000 0.000
Fe1 0.000 0.000 0.500
As1 0.500 0.500 0.500
C1 0.000 0.000 0.000

***

## FeAsCSe2 (GGA-PBE)

Data for crystalline FeAsCSe2 at its relaxed geometry.

## Properties
E_form (uncorrected) (meV per atom): 1410
Offset from the most stable computed form (eV per atom): 0.000

abc: 4.303 4.303 4.182
angles: 90.00 90.00 90.00
Fractional positions:
Fe1 0.000 0.000 0.000
As1 0.500 0.500 0.000
C1 0.500 0.500 0.500
Se1 0.000 0.500 0.500
Se2 0.500 0.000 0.500

***

## FeAs2CSe (GGA-PBE)

Data for crystalline FeAs2CSe at its relaxed geometry.

## Properties
E_form (uncorrected) (meV per atom): 1582
Offset from the most stable computed form (eV per atom): 0.225

abc: 4.388 4.388 4.957
angles: 90.00 90.00 90.00
Fractional positions:
Fe1 0.000 0.000 0.000
As1 0.000 0.500 0.000
As2 0.500 0.000 0.000
C1 0.500 0.500 0.500
Se1 0.000 0.000 0.500

***

## FeAsCSe2 (GGA-PBE)

Data for crystalline FeAsCSe2 at its relaxed geometry.

## Properties
E_form (uncorrected) (meV per atom): 1662
Offset from the most stable computed form (eV per atom): 0.252

abc: 4.650 4.650 4.405
angles: 90.00 90.00 90.00
Fractional positions:
Fe1 0.000 0.000 0.000
As1 0.000 0.000 0.500
C1 0.500 0.500 0.500
Se1 0.000 0.500 0.000
Se2 0.500 0.000 0.000

***

## FeAs2CSe (GGA-PBE)

Data for crystalline FeAs2CSe at its relaxed geometry.

## Properties
E_form (uncorrected) (meV per atom): 1357
Offset from the most stable computed form (eV per atom): 0.000

abc: 4.211 4.211 4.273
angles: 90.00 90.00 90.00
Fractional positions:
Fe1 0.000 0.000 0.000
As1 0.000 0.500 0.500
As2 0.500 0.000 0.500
C1 0.500 0.500 0.500
Se1 0.500 0.500 0.000

***

## FeSn2AsC (GGA-PBE)

Data for crystalline FeSn2AsC at its relaxed geometry.

## Properties
Calculated formation energy (kJ/mol of formula units): 329

abc: 4.887 4.887 3.658
angles: 90.00 90.00 90.00
Fractional positions:
Fe1 0.000 0.000 0.000
Sn1 0.000 0.500 0.500
Sn2 0.500 0.000 0.500
As1 0.500 0.500 0.000
C1 0.000 0.000 0.500

***

## SrFeAsC2 (GGA-PBE)

Data for crystalline SrFeAsC2 at its relaxed geometry.

## Properties
Calculated formation energy (kJ/mol of formula units): 1592

abc: 4.502 4.502 5.607
angles: 90.00 90.00 90.00
Fractional positions:
Sr1 0.000 0.000 0.000
Fe1 0.500 0.500 0.500
As1 0.000 0.000 0.500
C1 0.000 0.500 0.000
C2 0.500 0.000 0.000

***

## U2FeAsC (GGA-PBE)

Data for crystalline U2FeAsC at its relaxed geometry.

## Properties
Calculated formation energy (kJ/mol of formula units): -188

abc: 5.916 3.865 7.675
angles: 90.00 102.74 90.00
Fractional positions:
U1 0.227 0.250 0.355
U2 0.233 0.250 0.949
U3 0.767 0.750 0.051
U4 0.773 0.750 0.645
Fe1 0.496 0.250 0.787
Fe2 0.504 0.750 0.213
As1 0.273 0.750 0.651
As2 0.727 0.250 0.349
C1 0.163 0.750 0.140
C2 0.837 0.250 0.860

***

## Ga2AsC (GGA-PBE)

Data for crystalline Ga2AsC at its relaxed geometry.

## Properties
Calculated formation energy (kJ/mol of formula units): 114
Offset from the most stable computed form (eV per atom): 0.000

abc: 6.210 6.210 6.210
angles: 129.51 129.51 74.20
Fractional positions:
Ga1 0.043 0.625 0.918
Ga2 0.375 0.293 0.418
Ga3 0.707 0.125 0.082
Ga4 0.875 0.957 0.582
As1 0.250 0.750 0.500
As2 0.500 0.500 0.000
C1 0.000 0.000 0.000
C2 0.750 0.250 0.500

***

## GaAsC (GGA-PBE)

Data for crystalline GaAsC at its relaxed geometry.

## Properties
Calculated formation energy (kJ/mol of formula units): 143
Offset from the most stable computed form (eV per atom): 0.149

abc: 6.470 6.470 3.234
angles: 103.79 103.79 125.40
Fractional positions:
Ga1 0.144 0.856 0.000
Ga2 0.856 0.144 0.000
As1 0.398 0.678 0.027
As2 0.678 0.398 0.027
C1 0.118 0.247 0.675
C2 0.247 0.118 0.675

***

## Ga2As2C (GGA-PBE)

Data for crystalline Ga2As2C at its relaxed geometry.

## Properties
Calculated formation energy (kJ/mol of formula units): 599
Offset from the most stable computed form (eV per atom): 0.398

abc: 7.794 7.794 7.794
angles: 153.93 153.93 37.20
Fractional positions:
Ga1 0.250 0.750 0.500
Ga2 0.750 0.250 0.500
As1 0.081 0.081 0.000
As2 0.919 0.919 0.000
C1 0.500 0.500 0.000

***

## GaAsC (GGA-PBE)

Data for crystalline GaAsC at its relaxed geometry.

## Properties
Calculated formation energy (kJ/mol of formula units): 99
Offset from the most stable computed form (eV per atom): 0.000

abc: 4.154 5.219 6.025
angles: 88.47 89.85 66.59
Fractional positions:
Ga1 0.176 0.145 0.217
Ga2 0.824 0.855 0.783
As1 0.174 0.155 0.793
As2 0.826 0.845 0.207
C1 0.002 0.494 0.389
C2 0.998 0.506 0.611

***

## GaAsC (GGA-PBE)

Data for crystalline GaAsC at its relaxed geometry.

## Properties
Calculated formation energy (kJ/mol of formula units): 122
Offset from the most stable computed form (eV per atom): 0.079

abc: 5.486 5.486 7.668
angles: 128.55 128.55 33.88
Fractional positions:
Ga1 0.024 0.024 0.265
Ga2 0.976 0.976 0.735
As1 0.202 0.202 0.693
As2 0.798 0.798 0.307
C1 0.451 0.451 0.875
C2 0.549 0.549 0.125

***

## GaAsC3 (GGA-PBE)

Data for crystalline GaAsC3 at its relaxed geometry.

## Properties
Calculated formation energy (kJ/mol of formula units): 1332
Offset from the most stable computed form (eV per atom): 0.207

abc: 4.025 4.025 4.025
angles: 90.00 90.00 90.00
Fractional positions:
Ga1 0.000 0.000 0.000
As1 0.500 0.500 0.500
C1 0.000 0.000 0.500
C2 0.000 0.500 0.000
C3 0.500 0.000 0.000

***

## GaAsC (GGA-PBE)

Data for crystalline GaAsC at its relaxed geometry.

## Properties
Calculated formation energy (kJ/mol of formula units): 131
Offset from the most stable computed form (eV per atom): 0.109

abc: 5.243 5.243 6.133
angles: 94.16 94.16 38.53
Fractional positions:
Ga1 0.007 0.007 0.202
Ga2 0.993 0.993 0.798
As1 0.269 0.269 0.361
As2 0.731 0.731 0.639
C1 0.473 0.473 0.382
C2 0.527 0.527 0.618

***

## GaAsC (GGA-PBE)

Data for crystalline GaAsC at its relaxed geometry.

## Properties
Calculated formation energy (kJ/mol of formula units): 111
Offset from the most stable computed form (eV per atom): 0.041

abc: 4.064 5.213 6.142
angles: 110.99 103.39 100.77
Fractional positions:
Ga1 0.141 0.001 0.202
Ga2 0.859 0.999 0.798
As1 0.421 0.290 0.791
As2 0.579 0.710 0.209
C1 0.416 0.377 0.500
C2 0.584 0.623 0.500

***

## GaAs2C (GGA-PBE)

Data for crystalline GaAs2C at its relaxed geometry.

## Properties
Calculated formation energy (kJ/mol of formula units): 254
Offset from the most stable computed form (eV per atom): 0.000

abc: 6.497 6.497 6.497
angles: 131.96 131.96 70.29
Fractional positions:
Ga1 0.000 0.000 0.000
Ga2 0.750 0.250 0.500
As1 0.187 0.625 0.062
As2 0.375 0.437 0.562
As3 0.563 0.125 0.938
As4 0.875 0.813 0.438
C1 0.250 0.750 0.500
C2 0.500 0.500 0.000

***

## Ga3AsC (GGA-PBE)

Data for crystalline Ga3AsC at its relaxed geometry.

## Properties
Calculated formation energy (kJ/mol of formula units): 782
Offset from the most stable computed form (eV per atom): 1.078

abc: 5.039 5.039 5.039
angles: 90.00 90.00 90.00
Fractional positions:
Ga1 0.000 0.000 0.500
Ga2 0.000 0.500 0.000
Ga3 0.500 0.000 0.000
As1 0.000 0.000 0.000
C1 0.500 0.500 0.500

***

## GaAsC3 (GGA-PBE)

Data for crystalline GaAsC3 at its relaxed geometry.

## Properties
Calculated formation energy (kJ/mol of formula units): 1232
Offset from the most stable computed form (eV per atom): 0.000

abc: 3.950 3.950 3.950
angles: 90.00 90.00 90.00
Fractional positions:
Ga1 0.000 0.000 0.000
As1 0.500 0.500 0.500
C1 0.000 0.500 0.500
C2 0.500 0.000 0.500
C3 0.500 0.500 0.000

***

Number 1: calculated total energy -33.2 eV per cell. Number 2: calculated total energy -38.0 eV per cell. Number 3: calculated total energy -22.3 eV per cell. Number 4: calculated total energy -22.6 eV per cell. Number 5: calculated total energy -21.0 eV per cell. Number 6: calculated total energy -23.7 eV per cell. Number 7: calculated total energy -26.9 eV per cell. Number 8: calculated total energy -16.7 eV per cell. Number 9: calculated total energy -93.7 eV per cell. Number 10: calculated total energy -37.5 eV per cell. Number 11: calculated total energy -30.8 eV per cell. Number 12: calculated total energy -18.4 eV per cell. Number 13: calculated total energy -31.7 eV per cell. Number 14: calculated total energy -31.3 eV per cell. Number 15: calculated total energy -21.5 eV per cell. Number 16: calculated total energy -31.1 eV per cell. Number 17: calculated total energy -31.5 eV per cell. Number 18: calculated total energy -37.8 eV per cell. Number 19: calculated total energy -14.8 eV per cell. Number 20: calculated total energy -22.6 eV per cell.